1.
Below is a geometry-optimized Pm3HIr2 structure, with properties calculated at the PBE-GGA level.

Cell and atoms, written as POSCAR:
```
Pm3HIr2
1.0
6.274 -2.872 0.000
6.274 2.872 0.000
-2.509 0.000 7.764
Pm H Ir
6 2 4
direct
0.029 0.971 0.750 Pm
0.327 0.338 0.404 Pm
0.338 0.327 0.904 Pm
0.662 0.673 0.096 Pm
0.673 0.662 0.596 Pm
0.971 0.029 0.250 Pm
0.457 0.543 0.750 H
0.543 0.457 0.250 H
0.159 0.170 0.076 Ir
0.170 0.159 0.576 Ir
0.830 0.841 0.424 Ir
0.841 0.830 0.924 Ir
```

Properties
The energy above the most stable polymorph in this dataset comes out at 5.9 kJ per mole of atoms. The total magnetization comes out at 0.000 μB/atom. Its space-group type is C2/c, No. 15.

---

2.
Below is a geometry-optimized Pm2HIr structure, with properties calculated at the PBE-GGA level.

Cell and atoms, written as POSCAR:
```
Pm2HIr
1.0
2.028 1.171 6.091
-2.028 1.171 6.091
0.000 -2.341 6.091
Pm H Ir
2 1 1
direct
0.246 0.246 0.246 Pm
0.754 0.754 0.754 Pm
0.500 0.500 0.500 H
0.000 0.000 0.000 Ir
```

Properties
The energy above the most stable polymorph in this dataset comes out at 3.1 kJ per mole of atoms. The total magnetization comes out at 0.000 μB/atom. Its space-group type is R-3m, No. 166.

---

3.
Below is a geometry-optimized Pm12HIr6 structure, with properties calculated at the PBE-GGA level.

Cell and atoms, written as POSCAR:
```
Pm12HIr6
1.0
6.277 3.624 3.908
-6.277 3.624 3.908
0.000 -7.248 3.908
Pm H Ir
12 1 6
direct
0.047 0.684 0.926 Pm
0.074 0.953 0.316 Pm
0.176 0.421 0.582 Pm
0.316 0.074 0.953 Pm
0.418 0.824 0.579 Pm
0.421 0.582 0.176 Pm
0.579 0.418 0.824 Pm
0.582 0.176 0.421 Pm
0.684 0.926 0.047 Pm
0.824 0.579 0.418 Pm
0.926 0.047 0.684 Pm
0.953 0.316 0.074 Pm
0.000 0.000 0.000 H
0.128 0.616 0.295 Ir
0.295 0.128 0.616 Ir
0.384 0.705 0.872 Ir
0.616 0.295 0.128 Ir
0.705 0.872 0.384 Ir
0.872 0.384 0.705 Ir
```

Properties
The value obtained for the electronic total energy is -6.49 eV/atom. The total magnetization comes out at 0.000 μB/atom. Its space-group type is R-3, No. 148.

---

4.
Below is a geometry-optimized Pm2HIr structure, with properties calculated at the PBE-GGA level.

Cell and atoms, written as POSCAR:
```
Pm2HIr
1.0
3.268 0.000 0.000
0.000 3.646 0.000
0.000 0.000 7.096
Pm H Ir
2 1 1
direct
0.000 0.000 0.248 Pm
0.000 0.000 0.752 Pm
0.500 0.000 0.500 H
0.500 0.500 0.000 Ir
```

Properties
The energy above the most stable polymorph in this dataset comes out at 8.3 kJ per mole of atoms. The total magnetization comes out at 0.000 μB/atom. Its space-group type is Pmmm, No. 47.

---

5.
Below is a geometry-optimized Pm5H2Ir2 structure, with properties calculated at the PBE-GGA level.

Cell and atoms, written as POSCAR:
```
Pm5H2Ir2
1.0
-8.795 3.526 3.359
8.795 -3.526 3.359
8.795 3.526 -3.359
Pm H Ir
10 4 4
direct
0.197 0.450 0.049 Pm
0.197 0.647 0.246 Pm
0.242 0.022 0.264 Pm
0.242 0.478 0.720 Pm
0.401 0.147 0.951 Pm
0.401 0.950 0.754 Pm
0.720 0.562 0.658 Pm
0.758 0.522 0.280 Pm
0.758 0.978 0.736 Pm
0.904 0.062 0.342 Pm
0.071 0.915 0.656 H
0.253 0.253 0.000 H
0.253 0.753 0.500 H
0.259 0.415 0.344 H
0.678 0.122 0.367 Ir
0.678 0.811 0.056 Ir
0.755 0.311 0.633 Ir
0.755 0.622 0.944 Ir
```

Properties
The value obtained for the electronic total energy is -5.85 eV/atom. The total magnetization comes out at 0.000 μB/atom. Its space-group type is Ima2, No. 46.

---

6.
Below is a geometry-optimized Pm2HIr structure, with properties calculated at the PBE-GGA level.

Cell and atoms, written as POSCAR:
```
Pm2HIr
1.0
-1.801 1.801 6.275
1.801 -1.801 6.275
1.801 1.801 -6.275
Pm H Ir
2 1 1
direct
0.134 0.134 0.000 Pm
0.866 0.866 0.000 Pm
0.750 0.250 0.500 H
0.500 0.500 0.000 Ir
```

Properties
The energy above the most stable polymorph in this dataset comes out at 0.0 kJ per mole of atoms. The total magnetization comes out at 0.000 μB/atom. Its space-group type is I-4m2, No. 119.

---

7.
Below is a geometry-optimized Pm2HIr structure, with properties calculated at the PBE-GGA level.

Cell and atoms, written as POSCAR:
```
Pm2HIr
1.0
3.330 0.000 0.000
0.000 3.330 0.000
0.000 0.000 7.242
Pm H Ir
2 1 1
direct
0.000 0.000 0.250 Pm
0.000 0.000 0.750 Pm
0.500 0.500 0.000 H
0.500 0.500 0.500 Ir
```

Properties
The energy above the most stable polymorph in this dataset comes out at 21.8 kJ per mole of atoms. The total magnetization comes out at 0.008 μB/atom. Its space-group type is P4/mmm, No. 123.

---

8.
Below is a geometry-optimized Pm4HIr structure, with properties calculated at the PBE-GGA level.

Cell and atoms, written as POSCAR:
```
Pm4HIr
1.0
6.152 0.000 0.000
0.000 8.731 0.000
-1.150 0.000 6.111
Pm H Ir
8 2 2
direct
0.172 0.250 0.254 Pm
0.237 0.750 0.328 Pm
0.284 0.036 0.777 Pm
0.284 0.464 0.777 Pm
0.716 0.536 0.223 Pm
0.716 0.964 0.223 Pm
0.763 0.250 0.672 Pm
0.828 0.750 0.746 Pm
0.111 0.250 0.601 H
0.889 0.750 0.399 H
0.435 0.750 0.940 Ir
0.565 0.250 0.060 Ir
```

Properties
The value obtained for the electronic total energy is -5.57 eV/atom. The total magnetization comes out at 0.000 μB/atom. Its space-group type is P2_1/m, No. 11.

---

9.
Below is a geometry-optimized PmH7Ir2 structure, with properties calculated at the PBE-GGA level.

Cell and atoms, written as POSCAR:
```
PmH7Ir2
1.0
2.696 -4.440 0.000
2.696 4.440 0.000
0.000 0.000 3.670
Pm H Ir
1 7 2
direct
0.000 0.000 0.000 Pm
0.048 0.326 0.500 H
0.309 0.691 0.000 H
0.326 0.048 0.500 H
0.500 0.500 0.500 H
0.674 0.952 0.500 H
0.691 0.309 0.000 H
0.952 0.674 0.500 H
0.308 0.692 0.500 Ir
0.692 0.308 0.500 Ir
```

Properties
The value obtained for the electronic total energy is -4.80 eV/atom. The total magnetization comes out at 0.000 μB/atom. Its space-group type is Cmmm, No. 65.

---

10.
Below is a geometry-optimized PmH5Ir structure, with properties calculated at the PBE-GGA level.

Cell and atoms, written as POSCAR:
```
PmH5Ir
1.0
2.407 -3.991 0.000
2.407 3.991 0.000
-0.569 0.000 7.109
Pm H Ir
2 10 2
direct
0.163 0.837 0.750 Pm
0.837 0.163 0.250 Pm
0.106 0.230 0.959 H
0.230 0.106 0.459 H
0.240 0.643 0.442 H
0.357 0.760 0.058 H
0.472 0.528 0.750 H
0.528 0.472 0.250 H
0.643 0.240 0.942 H
0.760 0.357 0.558 H
0.770 0.894 0.541 H
0.894 0.770 0.041 H
0.500 0.500 0.000 Ir
0.500 0.500 0.500 Ir
```

Properties
The value obtained for the electronic total energy is -4.81 eV/atom. The total magnetization comes out at 0.000 μB/atom. Its space-group type is C2/c, No. 15.

---

11.
Below is a geometry-optimized Pm2HIr structure, with properties calculated at the PBE-GGA level.

Cell and atoms, written as POSCAR:
```
Pm2HIr
1.0
0.000 3.446 3.446
3.446 0.000 3.446
3.446 3.446 0.000
Pm H Ir
2 1 1
direct
0.250 0.250 0.250 Pm
0.750 0.750 0.750 Pm
0.000 0.000 0.000 H
0.500 0.500 0.500 Ir
```

Properties
The energy above the most stable polymorph in this dataset comes out at 19.8 kJ per mole of atoms. The total magnetization comes out at 0.000 μB/atom. Its space-group type is Fm-3m, No. 225.

---

12.
Below is a geometry-optimized PmH4Ir structure, with properties calculated at the PBE-GGA level.

Cell and atoms, written as POSCAR:
```
PmH4Ir
1.0
4.004 -2.245 0.000
4.004 2.245 0.000
-2.222 0.000 6.874
Pm H Ir
2 8 2
direct
0.212 0.788 0.750 Pm
0.788 0.212 0.250 Pm
0.145 0.272 0.607 H
0.267 0.669 0.082 H
0.272 0.145 0.107 H
0.331 0.733 0.418 H
0.669 0.267 0.582 H
0.728 0.855 0.893 H
0.733 0.331 0.918 H
0.855 0.728 0.393 H
0.000 0.500 0.000 Ir
0.500 0.000 0.500 Ir
```

Properties
The energy above the most stable polymorph in this dataset comes out at 0.0 kJ per mole of atoms. The total magnetization comes out at 0.000 μB/atom. Its space-group type is C2/c, No. 15.

---

13.
Below is a geometry-optimized Pm3H2Ir structure, with properties calculated at the PBE-GGA level.

Cell and atoms, written as POSCAR:
```
Pm3H2Ir
1.0
-1.977 2.800 5.621
1.977 -2.800 5.621
1.977 2.800 -5.621
Pm H Ir
3 2 1
direct
0.000 0.000 0.000 Pm
0.324 0.324 0.000 Pm
0.676 0.676 0.000 Pm
0.155 0.655 0.500 H
0.845 0.345 0.500 H
0.500 0.000 0.500 Ir
```

Properties
The value obtained for the electronic total energy is -5.39 eV/atom. The total magnetization comes out at 0.000 μB/atom. Its space-group type is Immm, No. 71.

---

14.
Below is a geometry-optimized PmPrH8Ir2 structure, with properties calculated at the PBE-GGA level.

Cell and atoms, written as POSCAR:
```
PmPrH8Ir2
1.0
2.440 1.409 6.273
-2.440 1.409 6.273
0.000 -2.817 6.273
Pm Pr H Ir
1 1 8 2
direct
0.000 0.000 0.000 Pm
0.500 0.500 0.500 Pr
0.110 0.529 0.529 H
0.172 0.172 0.172 H
0.471 0.471 0.890 H
0.471 0.890 0.471 H
0.529 0.110 0.529 H
0.529 0.529 0.110 H
0.828 0.828 0.828 H
0.890 0.471 0.471 H
0.259 0.259 0.259 Ir
0.741 0.741 0.741 Ir
```

Properties
The value obtained for the electronic total energy is -4.78 eV/atom. The total magnetization comes out at 0.000 μB/atom. Its space-group type is R-3m, No. 166.

---

15.
Below is a geometry-optimized PmH4IrPt2 structure, with properties calculated at the PBE-GGA level.

Cell and atoms, written as POSCAR:
```
PmH4IrPt2
1.0
2.937 -4.295 0.000
2.937 4.295 0.000
-2.832 0.000 3.531
Pm H Ir Pt
1 4 1 2
direct
0.000 0.000 0.000 Pm
0.193 0.449 0.633 H
0.500 0.044 0.989 H
0.551 0.807 0.367 H
0.956 0.500 0.011 H
0.255 0.745 0.500 Ir
0.522 0.478 0.000 Pt
0.737 0.263 0.500 Pt
```

Properties
The value obtained for the electronic total energy is -5.19 eV/atom. The total magnetization comes out at 0.000 μB/atom. Its space-group type is C2, No. 5.

---

16.
Below is a geometry-optimized Pm2H6IrPt structure, with properties calculated at the PBE-GGA level.

Cell and atoms, written as POSCAR:
```
Pm2H6IrPt
1.0
3.698 -3.810 0.000
3.698 3.810 0.000
-3.679 0.000 3.797
Pm H Ir Pt
2 6 1 1
direct
0.250 0.750 0.000 Pm
0.750 0.250 0.000 Pm
0.237 0.237 0.973 H
0.237 0.763 0.500 H
0.243 0.243 0.501 H
0.757 0.757 0.499 H
0.763 0.237 0.500 H
0.763 0.763 0.027 H
0.000 0.000 0.500 Ir
0.500 0.500 0.500 Pt
```

Properties
The value obtained for the electronic total energy is -4.97 eV/atom. The total magnetization comes out at 0.000 μB/atom. Its space-group type is C2/m, No. 12.

---

17.
Below is a geometry-optimized PmH8Ir2Pt structure, with properties calculated at the PBE-GGA level.

Cell and atoms, written as POSCAR:
```
PmH8Ir2Pt
1.0
4.604 -2.046 0.000
4.604 2.046 0.000
-2.122 0.000 5.705
Pm H Ir Pt
1 8 2 1
direct
0.000 0.000 0.000 Pm
0.129 0.617 0.260 H
0.203 0.203 0.361 H
0.350 0.350 0.951 H
0.383 0.871 0.740 H
0.617 0.129 0.260 H
0.650 0.650 0.049 H
0.797 0.797 0.639 H
0.871 0.383 0.740 H
0.247 0.247 0.668 Ir
0.753 0.753 0.332 Ir
0.500 0.500 0.500 Pt
```

Properties
The value obtained for the electronic total energy is -4.76 eV/atom. The total magnetization comes out at 0.000 μB/atom. Its space-group type is C2/m, No. 12.

---

18.
Below is a geometry-optimized Pm2H6IrRh structure, with properties calculated at the PBE-GGA level.

Cell and atoms, written as POSCAR:
```
Pm2H6IrRh
1.0
0.000 3.733 3.749
3.712 0.000 3.749
3.712 3.733 0.000
Pm H Ir Rh
2 6 1 1
direct
0.250 0.250 0.250 Pm
0.750 0.750 0.750 Pm
0.244 0.244 0.756 H
0.245 0.755 0.245 H
0.245 0.755 0.755 H
0.755 0.245 0.245 H
0.755 0.245 0.755 H
0.756 0.756 0.244 H
0.000 0.000 0.000 Ir
0.500 0.500 0.500 Rh
```

Properties
The value obtained for the electronic total energy is -5.11 eV/atom. The total magnetization comes out at 0.000 μB/atom. Its space-group type is Fmmm, No. 69.

---

19.
Below is a geometry-optimized PmSiHIr structure, with properties calculated at the PBE-GGA level.

Cell and atoms, written as POSCAR:
```
PmSiHIr
1.0
4.078 0.000 0.000
0.000 4.078 0.000
0.000 0.000 7.530
Pm Si H Ir
2 2 2 2
direct
0.250 0.250 0.159 Pm
0.750 0.750 0.841 Pm
0.250 0.250 0.672 Si
0.750 0.750 0.328 Si
0.250 0.750 0.000 H
0.750 0.250 0.000 H
0.250 0.750 0.500 Ir
0.750 0.250 0.500 Ir
```

Properties
The value obtained for the electronic total energy is -6.50 eV/atom. The total magnetization comes out at 0.000 μB/atom. Its space-group type is P4/nmm, No. 129.

---

20.
Below is a geometry-optimized TbPmH8Ir2 structure, with properties calculated at the PBE-GGA level.

Cell and atoms, written as POSCAR:
```
TbPmH8Ir2
1.0
2.426 1.401 6.104
-2.426 1.401 6.104
0.000 -2.802 6.104
Tb Pm H Ir
1 1 8 2
direct
0.000 0.000 0.000 Tb
0.500 0.500 0.500 Pm
0.112 0.473 0.589 H
0.173 0.173 0.173 H
0.411 0.888 0.527 H
0.473 0.589 0.112 H
0.527 0.411 0.888 H
0.589 0.112 0.473 H
0.827 0.827 0.827 H
0.888 0.527 0.411 H
0.261 0.261 0.261 Ir
0.739 0.739 0.739 Ir
```

Properties
The value obtained for the electronic total energy is -4.77 eV/atom. The total magnetization comes out at 0.000 μB/atom. Its space-group type is R-3, No. 148.